This record from the Alexandria database describes LiHo2ThS4 after structural relaxation. The functional is PBE.

a b c (Å): 6.772 3.888 6.815
angles (deg): 90.00 108.76 90.00
Atoms (fractional coordinates):
Li1 0.000 0.000 0.000
Ho1 0.500 0.000 0.500
Ho2 0.500 0.500 0.000
Th1 0.000 0.500 0.500
S1 0.252 0.500 0.244
S2 0.255 0.000 0.765
S3 0.745 0.000 0.235
S4 0.748 0.500 0.756

## Properties
The total DFT energy (no corrections) is -49.80 eV for the cell shown.